1.
# Pm2HoNbN4

Pm2HoNbN4 after structural relaxation (PBE, Alexandria).

Its total energy is -8.56 eV per atom. As for the magnetic moment: 0.0 μB/f.u. The calculation puts the raw formation energy at -1.3826 eV/atom.

Cell lengths 5.9086, 3.4083, 5.9710 Å; angles 90.00, 108.95, 90.00 degrees
Element x y z (fractional)
Pm 0.0000 0.0000 0.0000
Pm 0.5000 0.5000 0.0000
Ho 0.0000 0.5000 0.5000
Nb 0.5000 0.0000 0.5000
N 0.2595 0.0000 0.7235
N 0.2718 0.5000 0.2801
N 0.7282 0.5000 0.7199
N 0.7405 0.0000 0.2765


2.
# PmHo2NbN4

PmHo2NbN4 after structural relaxation (PBE, Alexandria).

Its total energy is -8.43 eV per atom. As for the magnetic moment: 0.0 μB/f.u. The calculation puts the raw formation energy at -1.2736 eV/atom.

Cell lengths 6.1843, 6.1843, 12.0807 Å; angles 90.00, 90.00, 148.10 degrees
Element x y z (fractional)
Pm 0.1032 0.8968 0.7500
Pm 0.8968 0.1032 0.2500
Ho 0.3703 0.6297 0.5343
Ho 0.3703 0.6297 0.9657
Ho 0.6297 0.3703 0.0343
Ho 0.6297 0.3703 0.4657
Nb 0.1580 0.8420 0.2500
Nb 0.8420 0.1580 0.7500
N 0.0000 0.0000 0.0000
N 0.0000 0.0000 0.5000
N 0.2597 0.7403 0.1212
N 0.2597 0.7403 0.3788
N 0.4512 0.5488 0.7500
N 0.5488 0.4512 0.2500
N 0.7403 0.2597 0.6212
N 0.7403 0.2597 0.8788


3.
# PmHoNbN3

PmHoNbN3 after structural relaxation (PBE, Alexandria).

Its total energy is -8.50 eV per atom. As for the magnetic moment: 0.0 μB/f.u. The calculation puts the raw formation energy at -1.1018 eV/atom.

Cell lengths 6.5747, 3.3396, 9.4193 Å; angles 90.00, 95.04, 90.00 degrees
Element x y z (fractional)
Pm 0.1991 0.2500 0.2416
Pm 0.8009 0.7500 0.7584
Ho 0.3365 0.7500 0.8875
Ho 0.6635 0.2500 0.1125
Nb 0.1375 0.2500 0.5805
Nb 0.8625 0.7500 0.4195
N 0.1082 0.2500 0.7944
N 0.1977 0.7500 0.4579
N 0.4025 0.7500 0.1271
N 0.5975 0.2500 0.8729
N 0.8023 0.2500 0.5421
N 0.8918 0.7500 0.2056


4.
# PrHoNbN3

PrHoNbN3 after structural relaxation (PBE, Alexandria).

Its total energy is -8.48 eV per atom. As for the magnetic moment: 0.0 μB/f.u. The calculation puts the raw formation energy at -1.0753 eV/atom.

Cell lengths 7.3800, 3.4637, 8.0626 Å; angles 90.00, 93.24, 90.00 degrees
Element x y z (fractional)
Pr 0.1566 0.2500 0.1704
Pr 0.8434 0.7500 0.8296
Ho 0.3824 0.7500 0.8554
Ho 0.6176 0.2500 0.1446
Nb 0.1226 0.2500 0.5818
Nb 0.8774 0.7500 0.4182
N 0.1405 0.2500 0.8352
N 0.1717 0.7500 0.4519
N 0.3957 0.7500 0.1269
N 0.6043 0.2500 0.8731
N 0.8283 0.2500 0.5481
N 0.8595 0.7500 0.1648


What is the magnetic moment in the fourth record?
0.0 μB/f.u.